(1)
# PBE Ca2LaW, relaxed
# relative energy among the computed polymorphs: 0.122 eV per atom
# E_tot: -37.807 eV/cell
data_Ca2LaW
_cell_length_a 10.2595
_cell_length_b 3.2963
_cell_length_c 7.0275
_cell_angle_alpha 90.00
_cell_angle_beta 95.46
_cell_angle_gamma 90.00
_symmetry_space_group_name_H-M 'C 1 m 1'
_symmetry_Int_Tables_number 8
_symmetry_space_group_name_Hall 'C -2y'
loop_
_atom_site_label
_atom_site_fract_x
_atom_site_fract_y
_atom_site_fract_z
Ca1 0.0000 0.0000 0.0000
Ca2 0.2326 0.0000 0.6943
La1 0.4701 0.0000 0.4106
W1 0.2294 0.5000 0.2774

=====

(2)
# PBE CaLaW2, relaxed
# relative energy among the computed polymorphs: 0.566 eV per atom
# E_tot: -28.855 eV/cell
data_CaLaW2
_cell_length_a 4.0834
_cell_length_b 4.0834
_cell_length_c 5.2027
_cell_angle_alpha 90.00
_cell_angle_beta 90.00
_cell_angle_gamma 90.00
_symmetry_space_group_name_H-M 'P 4/m m m'
_symmetry_Int_Tables_number 123
_symmetry_space_group_name_Hall '-P 4 2'
loop_
_atom_site_label
_atom_site_fract_x
_atom_site_fract_y
_atom_site_fract_z
Ca1 0.0000 0.0000 0.0000
La1 0.5000 0.5000 0.0000
W1 0.0000 0.5000 0.5000

=====

> Among the records above, which one has the lowest E_tot?

Ca2LaW

=====

> Which of these has the lowest relative energy among the computed polymorphs?

Ca2LaW

=====

> Which of these has the lowest relative energy among the computed polymorphs?

Ca2LaW

=====

Copy entry 2 word for word.
# PBE CaLaW2, relaxed
# relative energy among the computed polymorphs: 0.566 eV per atom
# E_tot: -28.855 eV/cell
data_CaLaW2
_cell_length_a 4.0834
_cell_length_b 4.0834
_cell_length_c 5.2027
_cell_angle_alpha 90.00
_cell_angle_beta 90.00
_cell_angle_gamma 90.00
_symmetry_space_group_name_H-M 'P 4/m m m'
_symmetry_Int_Tables_number 123
_symmetry_space_group_name_Hall '-P 4 2'
loop_
_atom_site_label
_atom_site_fract_x
_atom_site_fract_y
_atom_site_fract_z
Ca1 0.0000 0.0000 0.0000
La1 0.5000 0.5000 0.0000
W1 0.0000 0.5000 0.5000